Here is an optimized crystal structure of CaZrTa2 from Alexandria. Energies are from PBE-GGA.

Cell lengths 6.0022, 6.0022, 6.0022 Å; angles 148.30, 125.59, 64.36 degrees
Closest atoms and distances in Å follow each position.
Fractional coordinates of all 4 atoms:
Zr 0.5260 0.5260 0.0000  6 Ta 2.94-3.25, 2 Zr 3.28
Ta 0.9681 0.9681 0.0000  2 Ta 2.63
Ta 0.7658 0.2658 0.5000  2 Ta 2.63, 2 Zr 2.94
Ca 0.2402 0.7402 0.5000  8 Ta 3.21-3.59, 2 Ca 3.28, 4 Zr 3.34-3.50

## Properties
Its total magnetic moment is 0.000 μB per cell. The electronic total energy comes out at -32.07 eV/cell. The calculated volume is 22.855 A^3/atom. The value obtained for the energy of formation is 0.547 eV per atom. As for the crystal system: orthorhombic.

---

Here is an optimized crystal structure of Ca2ZrTa from Alexandria. Energies are from PBE-GGA.

Cell lengths 5.2681, 5.2681, 6.9278 Å; angles 86.30, 86.30, 34.84 degrees
Closest atoms and distances in Å follow each position.
Fractional coordinates of all 4 atoms:
Zr 0.2410 0.2410 0.3070  3 Ta 2.89-2.94, 2 Zr 3.15, 1 Ca 3.23
Ta 0.5066 0.5066 0.4426  3 Zr 2.89-2.94, 2 Ta 3.15
Ca 0.9949 0.9949 0.0297  3 Ca 3.15-3.31, 3 Zr 3.23-3.47, 2 Ta 3.28
Ca 0.7574 0.7574 0.7207  3 Ca 3.15-3.31, 3 Ta 3.28-3.44, 2 Zr 3.29

## Properties
Its total magnetic moment is 0.000 μB per cell. The electronic total energy comes out at -22.41 eV/cell. The calculated volume is 27.393 A^3/atom. The value obtained for the energy of formation is 0.498 eV per atom. As for the crystal system: monoclinic.

---

Here is an optimized crystal structure of CaZr2Ta from Alexandria. Energies are from PBE-GGA.

Cell lengths 5.4264, 5.4264, 6.1892 Å; angles 85.64, 85.64, 32.79 degrees
Closest atoms and distances in Å follow each position.
Fractional coordinates of all 4 atoms:
Zr 0.9981 0.9981 0.0118  3 Ta 3.04-3.07, 5 Zr 3.06-3.15, 2 Ca 3.35
Zr 0.7402 0.7402 0.7964  2 Ta 2.94, 5 Zr 3.06-3.15, 1 Ca 3.22
Ta 0.2592 0.2592 0.1984  5 Zr 2.94-3.07, 2 Ta 3.06, 1 Ca 3.24
Ca 0.5025 0.5025 0.4934  2 Ca 3.06, 3 Zr 3.22-3.35, 1 Ta 3.24

## Properties
Its total magnetic moment is 0.000 μB per cell. The electronic total energy comes out at -29.38 eV/cell. The calculated volume is 24.599 A^3/atom. The value obtained for the energy of formation is 0.393 eV per atom. As for the crystal system: monoclinic.

---

Here is an optimized crystal structure of CaZrTa4 from Alexandria. Energies are from PBE-GGA.

Cell lengths 5.6866, 5.6866, 5.6866 Å; angles 60.00, 60.00, 60.00 degrees
Closest atoms and distances in Å follow each position.
Fractional coordinates of all 6 atoms:
Ta 0.8726 0.3758 0.3758  6 Ta 2.82-2.86
Ta 0.3758 0.3758 0.3758  6 Ta 2.82-2.86
Ta 0.3758 0.3758 0.8726  6 Ta 2.82-2.86
Ta 0.3758 0.8726 0.3758  6 Ta 2.82-2.86
Zr 0.7500 0.7500 0.7500  12 Ta 3.33, 4 Ca 3.48
Ca 0.0000 0.0000 0.0000  12 Ta 3.34, 4 Zr 3.48

## Properties
Its total magnetic moment is 0.006 μB per cell. The electronic total energy comes out at -55.53 eV/cell. The calculated volume is 21.672 A^3/atom. The value obtained for the energy of formation is 0.404 eV per atom. As for the crystal system: cubic.